The following is a DFT calculation (PBE) of crystalline Ba2FeBr at its relaxed geometry.

a = 8.169 Å, b = 8.169 Å, c = 8.169 Å
α = 90.00°, β = 90.00°, γ = 90.00°
Fractional positions:
1 Ba 0.250 0.250 0.250
2 Ba 0.250 0.250 0.750
3 Ba 0.250 0.750 0.250
4 Ba 0.250 0.750 0.750
5 Ba 0.750 0.250 0.250
6 Ba 0.750 0.250 0.750
7 Ba 0.750 0.750 0.250
8 Ba 0.750 0.750 0.750
9 Fe 0.000 0.000 0.000
10 Fe 0.000 0.500 0.500
11 Fe 0.500 0.000 0.500
12 Fe 0.500 0.500 0.000
13 Br 0.000 0.000 0.500
14 Br 0.000 0.500 0.000
15 Br 0.500 0.000 0.000
16 Br 0.500 0.500 0.500

Output
polymorph energy (0 for the lowest one): 0.195 eV/atom
theoretical density: 5.0 g/cm³
N(E_F): 2.455 states/eV per atom
magnetic moment: 1.68 μB/f.u.
space group: Fm-3m